First-principles (GGA+U) data for a geometry-optimized SmCrAs2O8 structure, as listed in Alexandria.

Computed properties:
ρ   4.7 g/cm3
Energy   -6.91 eV per atom

```
data_SmCrAs2O8
_chemical_formula_sum 'Sm1 Cr1 As2 O8'
_cell_length_a 5.407
_cell_length_b 5.407
_cell_length_c 6.676
_cell_angle_alpha 90.00
_cell_angle_beta 90.00
_cell_angle_gamma 120.00
_symmetry_space_group_name_H-M 'P 1'
_symmetry_Int_Tables_number 1
loop_
_symmetry_equiv_pos_as_xyz
'x,y,z'
loop_
_atom_site_label
_atom_site_type_symbol
_atom_site_fract_x
_atom_site_fract_y
_atom_site_fract_z
Sm1 Sm 0.000 0.000 0.500
Cr1 Cr 0.000 0.000 0.000
As1 As 0.667 0.333 0.274
As2 As 0.333 0.667 0.726
O1 O 0.842 0.158 0.202
O2 O 0.842 0.685 0.202
O3 O 0.315 0.158 0.202
O4 O 0.685 0.842 0.798
O5 O 0.333 0.667 0.473
O6 O 0.667 0.333 0.527
O7 O 0.158 0.842 0.798
O8 O 0.158 0.315 0.798
```